# 1
! PBE LiGa2CuS4, optimized geometry; values from VASP
&SYSTEM
  ibrav = 0, nat = 8, ntyp = 4
/
ATOMIC_SPECIES
Ga 69.72 Ga.upf
S 32.06 S.upf
Cu 63.55 Cu.upf
Li 6.94 Li.upf
ATOMIC_POSITIONS angstrom
Ga -3.191 -1.363 1.662
Ga -0.728 0.551 3.738
S -4.214 0.646 1.102
S 0.412 -3.563 2.797
S -1.809 2.516 3.129
S -2.227 -1.225 3.772
Cu -2.703 2.394 1.000
Li -3.918 -0.812 5.398
CELL_PARAMETERS angstrom
-0.240 4.309 3.073
-5.165 0.481 -1.077
1.487 -5.603 3.403
! - ρ (g/cm³) = 3.585
! - SG = I-42m, No. 121
! - uncorrected formation energy (eV per atom) = -0.79
! - spin magnetization (μB per formula unit) = 0.0

=====

# 2
! PBE Ca2TaIrW, optimized geometry; values from VASP
&SYSTEM
  ibrav = 0, nat = 5, ntyp = 4
/
ATOMIC_SPECIES
Ir 192.22 Ir.upf
W 183.84 W.upf
Ca 40.08 Ca.upf
Ta 180.95 Ta.upf
ATOMIC_POSITIONS angstrom
Ir 0.000 0.000 0.000
W -1.983 1.244 0.636
Ca -1.507 -1.824 -1.132
Ca -0.102 -1.321 2.263
Ta -3.592 -1.901 1.767
CELL_PARAMETERS angstrom
-3.014 -3.647 -2.265
-0.205 -2.642 4.527
-3.966 2.487 1.272
! - ρ (g/cm³) = 7.927
! - energy of formation from the pure elements (eV/atom) = 1.28
! - SG = P4/mmm, No. 123
! - Fermi-level density of states (states/eV/cell) = 5.0
! - spin magnetization (μB per formula unit) = 1.9

=====

# 3
! PBE TmMgZnHg, optimized geometry; values from VASP
&SYSTEM
  ibrav = 0, nat = 4, ntyp = 4
/
ATOMIC_SPECIES
Zn 65.41 Zn.upf
Hg 200.59 Hg.upf
Tm 168.93 Tm.upf
Mg 24.30 Mg.upf
ATOMIC_POSITIONS angstrom
Zn 0.000 0.000 0.000
Hg 4.923 2.842 2.010
Tm 7.385 4.264 3.015
Mg 2.462 1.421 1.005
CELL_PARAMETERS angstrom
4.923 0.000 0.000
2.462 4.264 0.000
2.462 1.421 4.020
! - ρ (g/cm³) = 9.038
! - energy of formation from the pure elements (eV/atom) = -0.37
! - SG = F-43m, No. 216
! - Fermi-level density of states (states/eV/cell) = 1.3
! - spin magnetization (μB per formula unit) = 0.0

=====

# 4
! PBE Nb3VH4, optimized geometry; values from VASP
&SYSTEM
  ibrav = 0, nat = 16, ntyp = 3
/
ATOMIC_SPECIES
H 1.01 H.upf
V 50.94 V.upf
Nb 92.91 Nb.upf
ATOMIC_POSITIONS angstrom
H -2.973 0.386 1.137
H -2.688 -2.735 -2.059
H -3.742 -2.539 0.979
H -3.171 -4.804 3.244
H -1.058 -2.150 0.454
H -2.105 -4.992 0.449
H -0.428 -4.645 2.948
H -2.210 -1.924 3.546
V -0.613 -0.820 -0.665
V -3.234 -4.154 1.573
Nb -1.507 -3.593 -0.765
Nb -0.009 -3.189 1.724
Nb -2.353 -1.377 1.679
Nb -1.754 -3.751 4.052
Nb -3.846 -1.782 -0.812
Nb -0.905 -5.980 1.621
CELL_PARAMETERS angstrom
-4.100 1.227 2.263
-2.397 -3.207 -2.604
1.201 -4.761 4.758
! - ρ (g/cm³) = 7.010
! - SG = Pmn2_1, No. 31
! - Fermi-level density of states (states/eV/cell) = 5.4
! - DFT total energy (eV/atom) = -6.786
! - spin magnetization (μB per formula unit) = 0.0

=====

# 5
! PBE Hf4HgN, optimized geometry; values from VASP
&SYSTEM
  ibrav = 0, nat = 12, ntyp = 3
/
ATOMIC_SPECIES
Hf 178.49 Hf.upf
Hg 200.59 Hg.upf
N 14.01 N.upf
ATOMIC_POSITIONS angstrom
Hf -0.263 0.000 8.271
Hf -2.537 0.000 11.590
Hf 0.064 1.624 10.928
Hf 0.000 0.000 0.000
Hf 1.494 1.624 2.155
Hf 4.095 0.000 1.493
Hf 2.553 1.624 -0.865
Hf 1.821 0.000 4.812
Hg -0.816 1.624 5.714
Hg 2.374 1.624 7.368
N -0.533 0.000 12.416
N 2.091 0.000 0.667
CELL_PARAMETERS angstrom
5.106 0.000 -1.730
0.000 3.248 0.000
-3.548 0.000 14.812
! - ρ (g/cm³) = 13.661
! - SG = P2/m, No. 10
! - energy above the lowest structure with this stoichiometry (meV per atom) = 0
! - Fermi-level density of states (states/eV/cell) = 8.7
! - uncorrected formation energy (eV per atom) = -0.60
! - spin magnetization (μB per formula unit) = 0.0

=====

# 6
! PBE TaSb5, optimized geometry; values from VASP
&SYSTEM
  ibrav = 0, nat = 6, ntyp = 2
/
ATOMIC_SPECIES
Sb 121.76 Sb.upf
Ta 180.95 Ta.upf
ATOMIC_POSITIONS angstrom
Sb 1.846 7.833 0.000
Sb 1.846 -3.824 2.698
Sb 1.846 2.146 0.000
Sb 1.846 -2.676 0.000
Sb 1.846 0.724 2.698
Ta 1.846 6.668 2.698
CELL_PARAMETERS angstrom
1.846 -8.153 0.000
1.846 8.153 0.000
0.000 0.000 5.396
! - ρ (g/cm³) = 8.074
! - SG = Amm2, No. 38
! - energy above the lowest structure with this stoichiometry (meV per atom) = 84
! - Fermi-level density of states (states/eV/cell) = 2.6
! - uncorrected formation energy (eV per atom) = 0.23
! - spin magnetization (μB per formula unit) = 0.0

=====

Q: Among the records above, which one has the highest spin magnetization?
A: Ca2TaIrW

=====

Q: Which value of ρ does entry 4 give?
A: 7.010 g/cm³

=====

Q: The highest ρ belongs to which entry?
A: Hf4HgN

=====

Copy entry 6 word for word.
! PBE TaSb5, optimized geometry; values from VASP
&SYSTEM
  ibrav = 0, nat = 6, ntyp = 2
/
ATOMIC_SPECIES
Sb 121.76 Sb.upf
Ta 180.95 Ta.upf
ATOMIC_POSITIONS angstrom
Sb 1.846 7.833 0.000
Sb 1.846 -3.824 2.698
Sb 1.846 2.146 0.000
Sb 1.846 -2.676 0.000
Sb 1.846 0.724 2.698
Ta 1.846 6.668 2.698
CELL_PARAMETERS angstrom
1.846 -8.153 0.000
1.846 8.153 0.000
0.000 0.000 5.396
! - ρ (g/cm³) = 8.074
! - SG = Amm2, No. 38
! - energy above the lowest structure with this stoichiometry (meV per atom) = 84
! - Fermi-level density of states (states/eV/cell) = 2.6
! - uncorrected formation energy (eV per atom) = 0.23
! - spin magnetization (μB per formula unit) = 0.0